Record 1
# Er2ScSb3

Er2ScSb3 after structural relaxation (PBE, the Alexandria database).

Geometry as POSCAR:
```
Er2ScSb3
1.0
4.290 0.000 0.000
0.000 6.083 0.000
-2.145 -3.041 6.436
Er Sc Sb
2 1 3
direct
0.831 0.831 0.163 Er
0.169 0.169 0.837 Er
0.500 0.500 0.500 Sc
0.840 0.340 0.180 Sb
0.160 0.660 0.820 Sb
0.500 0.000 0.500 Sb
```

Raw formation energy   -1032 meV per atom
V   28.0 Å³/atom
ρ   7.36 g/cm3
Fermi-level density of states   0.216 states/eV per atom
Magnetic moment   0.00 μB per cell
Total DFT energy (no corrections)   -5.67 eV/atom
Energy above the most stable polymorph in this dataset   0.0028 eV/atom

***

Record 2
# HfGa2Ag

HfGa2Ag after structural relaxation (PBE, the Alexandria database).

Geometry as POSCAR:
```
HfGa2Ag
1.0
-3.754 -2.021 0.418
-0.777 -3.563 -2.248
0.238 -4.400 2.810
Hf Ga Ag
1 2 1
direct
0.000 0.000 0.000 Hf
0.768 0.768 0.695 Ga
0.232 0.232 0.305 Ga
0.500 0.500 0.500 Ag
```

V   18.3 Å³/atom
Energy relative to the elements   -0.39 eV/f.u.
ρ   9.66 g/cm3
Fermi-level density of states   0.591 states/eV per atom
Magnetic moment   0.00 μB per cell
Total DFT energy (no corrections)   -4.81 eV/atom
Energy above the most stable polymorph in this dataset   0.1936 eV/atom

***

Record 3
# HgBiAu2

HgBiAu2 after structural relaxation (PBE, the Alexandria database).

Geometry as POSCAR:
```
HgBiAu2
1.0
-3.409 1.191 1.686
-0.748 -0.873 3.816
1.787 6.300 3.873
Hg Bi Au
1 1 2
direct
0.499 0.499 0.504 Hg
0.668 0.668 0.996 Bi
0.087 0.087 0.740 Au
0.247 0.247 0.259 Au
```

V   24.9 Å³/atom
Energy relative to the elements   0.18 eV/f.u.
ρ   13.38 g/cm3
Fermi-level density of states   0.488 states/eV per atom
Magnetic moment   0.00 μB per cell
Total DFT energy (no corrections)   -2.64 eV/atom

***

Record 4
# ScTa2Cr2

ScTa2Cr2 after structural relaxation (PBE, the Alexandria database).

Geometry as POSCAR:
```
ScTa2Cr2
1.0
-7.347 0.546 0.008
-0.465 -6.193 -3.963
-0.123 -1.692 2.659
Sc Cr Ta
2 4 4
direct
0.000 0.000 0.000 Sc
0.500 0.500 0.000 Sc
0.362 0.862 0.000 Cr
0.862 0.638 0.000 Cr
0.638 0.138 0.000 Cr
0.138 0.362 0.000 Cr
0.150 0.650 0.500 Ta
0.650 0.850 0.500 Ta
0.850 0.350 0.500 Ta
0.350 0.150 0.500 Ta
```

V   17.1 Å³/atom
Energy relative to the elements   1.31 eV/f.u.
ρ   9.91 g/cm3
Fermi-level density of states   1.065 states/eV per atom
Magnetic moment   4.70 μB per cell
Total DFT energy (no corrections)   -9.59 eV/atom
Energy above the most stable polymorph in this dataset   0.0000 eV/atom

***

Record 5
# Tb2Y6HoTh3

Tb2Y6HoTh3 after structural relaxation (PBE, the Alexandria database).

Geometry as POSCAR:
```
Tb2Y6HoTh3
1.0
-1.118 4.880 3.652
3.520 -4.666 2.058
8.624 5.204 -6.070
Tb Y Ho Th
2 6 1 3
direct
0.333 0.667 0.000 Tb
0.667 0.333 0.000 Tb
0.916 0.582 0.746 Y
0.751 0.751 0.254 Y
0.084 0.418 0.254 Y
0.582 0.916 0.746 Y
0.249 0.249 0.746 Y
0.418 0.084 0.254 Y
0.000 0.000 0.000 Ho
0.167 0.833 0.500 Th
0.833 0.167 0.500 Th
0.500 0.500 0.500 Th
```

V   32.1 Å³/atom
Energy relative to the elements   0.30 eV/f.u.
ρ   7.38 g/cm3
Fermi-level density of states   1.511 states/eV per atom
Magnetic moment   0.00 μB per cell
Total DFT energy (no corrections)   -6.21 eV/atom

***

Record 6
# AcPmCdNi

AcPmCdNi after structural relaxation (PBE, the Alexandria database).

Geometry as POSCAR:
```
AcPmCdNi
1.0
5.364 0.000 0.000
2.682 4.645 0.000
2.682 1.548 4.379
Ni Ac Cd Pm
1 1 1 1
direct
0.750 0.750 0.750 Ni
0.500 0.500 0.500 Ac
0.250 0.250 0.250 Cd
0.000 0.000 0.000 Pm
```

V   27.3 Å³/atom
Energy relative to the elements   -0.53 eV/f.u.
ρ   8.27 g/cm3
Fermi-level density of states   0.833 states/eV per atom
Magnetic moment   0.00 μB per cell
Total DFT energy (no corrections)   -4.02 eV/atom

***

Record 7
# V2Ni7Pt

V2Ni7Pt after structural relaxation (PBE, the Alexandria database).

Geometry as POSCAR:
```
V2Ni7Pt
1.0
-0.308 2.495 -0.142
-3.743 -0.059 7.099
7.924 0.930 -0.870
V Ni Pt
2 7 1
direct
0.500 0.676 0.324 V
0.500 0.324 0.676 V
0.000 0.819 0.181 Ni
0.000 0.181 0.819 Ni
0.500 0.140 0.339 Ni
0.500 0.860 0.661 Ni
0.500 0.339 0.140 Ni
0.500 0.661 0.860 Ni
0.500 0.500 0.500 Ni
0.000 0.000 0.000 Pt
```

V   13.5 Å³/atom
Energy relative to the elements   3.19 eV/f.u.
ρ   8.73 g/cm3
Fermi-level density of states   1.198 states/eV per atom
Magnetic moment   0.00 μB per cell
Total DFT energy (no corrections)   -6.16 eV/atom

***

Record 8
# FeCu2PbCl

FeCu2PbCl after structural relaxation (PBE, the Alexandria database).

Geometry as POSCAR:
```
FeCu2PbCl
1.0
-4.253 0.997 -1.339
1.364 -1.059 -5.121
-1.207 -4.368 0.581
Pb Fe Cu Cl
1 1 2 1
direct
0.000 0.500 0.000 Pb
0.000 0.000 0.000 Fe
0.000 0.000 0.500 Cu
0.500 0.000 0.000 Cu
0.500 0.500 0.500 Cl
```

Raw formation energy   634 meV per atom
V   22.6 Å³/atom
ρ   6.26 g/cm3
Fermi-level density of states   0.658 states/eV per atom
Magnetic moment   2.68 μB per cell
Total DFT energy (no corrections)   -3.81 eV/atom